Entry 1:
First-principles (PBE) data for a geometry-optimized DyPuInGa structure, as listed in Alexandria.

a = 7.380 Å, b = 7.380 Å, c = 7.380 Å
α = 90.00°, β = 90.00°, γ = 90.00°
Space group F-43m (No. 216)
One atom of each set of equivalent atoms:
Dy (0.000, 0.000, 0.000) x4
Pu (0.000, 0.000, 0.500) x4
In (0.250, 0.250, 0.750) x4
Ga (0.250, 0.250, 0.250) x4

## Properties
formation energy	-310	meV per atom
DOS(E_F)	2.03	states/eV/atom

Entry 2:
First-principles (PBE) data for a geometry-optimized Tm5Sb2H structure, as listed in Alexandria.

a = 6.815 Å, b = 6.815 Å, c = 8.650 Å
α = 90.00°, β = 90.00°, γ = 90.00°
Space group I4mm (No. 107)
One atom of each set of equivalent atoms:
Tm (0.000, 0.000, 0.000) x2
Tm (0.250, 0.250, 0.246) x8
Sb (0.000, 0.500, 0.496) x4
H (0.000, 0.000, 0.255) x2

## Properties
DOS(E_F)	0.83	states/eV/atom
uncorrected energy	-4.699	eV/atom

Entry 3:
First-principles (PBE) data for a geometry-optimized Ac2Nd3In4 structure, as listed in Alexandria.

a = 7.390 Å, b = 17.459 Å, c = 9.444 Å
α = 90.00°, β = 90.00°, γ = 90.00°
Space group Cmce (No. 64)
One atom of each set of equivalent atoms:
Ac (0.000, 0.110, 0.076) x8
Nd (0.000, 0.000, 0.500) x4
Nd (0.250, 0.221, 0.750) x8
In (0.000, 0.183, 0.464) x8
In (0.250, 0.039, 0.750) x8

## Properties
formation energy	-330	meV per atom
energy relative to the lowest polymorph listed for this composition	97	meV/atom
DOS(E_F)	0.88	states/eV/atom

Entry 4:
First-principles (PBE) data for a geometry-optimized CsRb4Sr structure, as listed in Alexandria.

a = 12.723 Å, b = 12.723 Å, c = 12.723 Å
α = 90.00°, β = 90.00°, γ = 90.00°
Space group F-43m (No. 216)
One atom of each set of equivalent atoms:
Cs (0.000, 0.000, 0.000) x4
Rb (0.124, 0.124, 0.624) x16
Sr (0.250, 0.250, 0.250) x4

## Properties
formation energy	123	meV per atom
DOS(E_F)	1.12	states/eV/atom